DFT (GGA+U) results for TbNi2AsO6 after structural relaxation.

a b c (Å): 5.220 5.219 5.603
angles (deg): 62.24 62.24 60.00
Site moments in Bohr magnetons follow the coordinates.
Positions (direct):
Ni1 0.523 0.523 0.431  1.76
Ni2 0.013 0.013 0.960  1.76
O1 0.238 0.956 0.231  0.07
O2 0.385 0.698 0.773  0.07
O3 0.145 0.385 0.773  0.07
O4 0.698 0.145 0.773  0.07
O5 0.956 0.575 0.231  0.07
O6 0.575 0.238 0.231  0.07
As1 0.322 0.322 0.034  0.00
Tb1 0.807 0.807 0.579  0.00

Total DFT energy (no corrections), eV per atom: -6.160
ρ, kg/m³: 6664